1.
Here is an optimized crystal structure of MgZn2Br6 from Alexandria. Energies are from PBE-GGA.

As for the raw formation energy: -1.053 eV/atom. The volume is 35.28 Å³/atom. The energy relative to the lowest polymorph listed for this composition is 0.0 kJ per mole of atoms.

abc: 14.1477 14.5478 6.7691
angles: 90.00 114.27 90.00
With the nearest neighbours (Å) after each atom.
Space group C2/c (No. 15)
Inequivalent atoms, fractional coordinates:
Mg (0.0000, 0.2144, 0.2500)  4 Br 2.53-2.54
Zn (0.2245, 0.4222, 0.3638)  4 Br 2.44-2.46
Br (0.0968, 0.1129, 0.5765)  1 Zn 2.45, 1 Mg 2.54
Br (0.1157, 0.3037, 0.1174)  1 Zn 2.45, 1 Mg 2.53
Br (0.1857, 0.4268, 0.6829)  2 Zn 2.44-2.46

2.
Here is an optimized crystal structure of MgZn2Br from Alexandria. Energies are from PBE-GGA.

As for the raw formation energy: 0.057 eV/atom. The volume is 22.19 Å³/atom. The energy relative to the lowest polymorph listed for this composition is 32.1 kJ per mole of atoms.

abc: 5.0051 5.0051 3.5431
angles: 90.00 90.00 90.00
With the nearest neighbours (Å) after each atom.
Space group P4/mmm (No. 123)
Inequivalent atoms, fractional coordinates:
Mg (0.0000, 0.0000, 0.0000)  8 Zn 3.07
Zn (0.0000, 0.5000, 0.5000)  4 Br 3.07, 4 Mg 3.07
Br (0.5000, 0.5000, 0.0000)  8 Zn 3.07

3.
Here is an optimized crystal structure of MgZnBr4 from Alexandria. Energies are from PBE-GGA.

As for the raw formation energy: 0.386 eV/atom. The volume is 30.44 Å³/atom. The energy relative to the lowest polymorph listed for this composition is 147.0 kJ per mole of atoms.

abc: 9.0065 9.0065 9.0065
angles: 90.00 90.00 90.00
With the nearest neighbours (Å) after each atom.
Space group F-43m (No. 216)
Inequivalent atoms, fractional coordinates:
Mg (0.0000, 0.0000, 0.0000)  12 Br 3.73, 4 Zn 3.90
Zn (0.2500, 0.2500, 0.7500)  12 Br 3.74, 4 Mg 3.90
Br (0.1261, 0.1261, 0.3739)  6 Br 3.16-3.21

4.
Here is an optimized crystal structure of MgZnBr2 from Alexandria. Energies are from PBE-GGA.

As for the raw formation energy: -0.394 eV/atom. The volume is 26.90 Å³/atom. The energy relative to the lowest polymorph listed for this composition is 46.2 kJ per mole of atoms.

abc: 4.2787 4.2910 5.8620
angles: 90.00 91.05 90.00
With the nearest neighbours (Å) after each atom.
Space group P2/m (No. 10)
Inequivalent atoms, fractional coordinates:
Mg (0.0000, 0.0000, 0.0000)  6 Br 2.93-3.03
Zn (0.5000, 0.5000, 0.5000)  6 Br 2.93-3.03
Br (0.0000, 0.0000, 0.5000)  2 Mg 2.93, 4 Zn 3.03
Br (0.5000, 0.5000, 0.0000)  2 Zn 2.93, 4 Mg 3.03